w | This record from the Alexandria database describes a relaxed structure of ReBPb3. The functional is PBE-GGA. Values from VASP.

Computed properties:
**Crystal system**: cubic

Structure (Quantum ESPRESSO input):
```
&SYSTEM
  ibrav = 0, nat = 5, ntyp = 3
/
ATOMIC_SPECIES
Pb 207.20 Pb.upf
Re 186.21 Re.upf
B 10.81 B.upf
CELL_PARAMETERS angstrom
5.331 0.000 0.000
0.000 5.331 0.000
0.000 0.000 5.331
ATOMIC_POSITIONS crystal
Pb 0.000 0.500 0.000
Pb 0.000 0.000 0.500
Pb 0.500 0.000 0.000
Re 0.000 0.000 0.000
B 0.500 0.500 0.500
```



x | This record from the Alexandria database describes a relaxed structure of ReBPb3. The functional is PBE-GGA. Values from VASP.

Computed properties:
**Crystal system**: cubic

Structure (Quantum ESPRESSO input):
```
&SYSTEM
  ibrav = 0, nat = 5, ntyp = 3
/
ATOMIC_SPECIES
Pb 207.20 Pb.upf
Re 186.21 Re.upf
B 10.81 B.upf
CELL_PARAMETERS angstrom
-3.163 -3.707 -0.834
1.028 0.210 -4.831
3.658 -3.264 0.636
ATOMIC_POSITIONS crystal
Pb 0.000 0.500 0.000
Pb 0.000 0.000 0.500
Pb 0.500 0.000 0.000
Re 0.500 0.500 0.500
B 0.000 0.000 0.000
```



Stability, highest: w



w | This record from the Alexandria database describes a relaxed structure of BRh2Pb. The functional is PBE-GGA. Values from VASP.

Computed properties:
**Crystal system**: triclinic

Structure (Quantum ESPRESSO input):
```
&SYSTEM
  ibrav = 0, nat = 8, ntyp = 3
/
ATOMIC_SPECIES
B 10.81 B.upf
Rh 102.91 Rh.upf
Pb 207.20 Pb.upf
CELL_PARAMETERS angstrom
-1.583 1.209 -2.686
3.328 -1.779 -2.766
-6.097 -7.236 0.512
ATOMIC_POSITIONS crystal
B 0.071 0.762 0.862
B 0.571 0.262 0.862
Rh 0.076 0.458 0.991
Rh 0.565 0.567 0.729
Rh 0.577 0.956 0.995
Rh 0.066 0.065 0.733
Pb 0.587 0.466 0.228
Pb 0.555 0.058 0.496
```



x | This record from the Alexandria database describes a relaxed structure of BRh2Pb. The functional is PBE-GGA. Values from VASP.

Computed properties:
**Crystal system**: cubic

Structure (Quantum ESPRESSO input):
```
&SYSTEM
  ibrav = 0, nat = 4, ntyp = 3
/
ATOMIC_SPECIES
Pb 207.20 Pb.upf
B 10.81 B.upf
Rh 102.91 Rh.upf
CELL_PARAMETERS angstrom
1.523 -4.114 0.305
-2.769 -3.314 0.825
-0.927 -2.926 -3.149
ATOMIC_POSITIONS crystal
Pb 0.500 0.500 0.500
B 0.000 0.000 0.000
Rh 0.250 0.250 0.250
Rh 0.750 0.750 0.750
```



Stability, highest: w



w | This record from the Alexandria database describes a relaxed structure of BRh2Pb. The functional is PBE-GGA. Values from VASP.

Computed properties:
**Crystal system**: trigonal

Structure (Quantum ESPRESSO input):
```
&SYSTEM
  ibrav = 0, nat = 4, ntyp = 3
/
ATOMIC_SPECIES
Pb 207.20 Pb.upf
B 10.81 B.upf
Rh 102.91 Rh.upf
CELL_PARAMETERS angstrom
3.308 0.000 0.000
1.654 2.865 0.000
1.654 0.955 6.517
ATOMIC_POSITIONS crystal
Pb 0.500 0.500 0.500
B 0.000 0.000 0.000
Rh 0.281 0.281 0.157
Rh 0.719 0.719 0.843
```



x | This record from the Alexandria database describes a relaxed structure of BRh2Pb. The functional is PBE-GGA. Values from VASP.

Computed properties:
**Crystal system**: tetragonal

Structure (Quantum ESPRESSO input):
```
&SYSTEM
  ibrav = 0, nat = 8, ntyp = 3
/
ATOMIC_SPECIES
Pb 207.20 Pb.upf
B 10.81 B.upf
Rh 102.91 Rh.upf
CELL_PARAMETERS angstrom
-4.668 4.358 1.886
-3.127 -0.831 -5.819
-5.413 -0.343 -0.851
ATOMIC_POSITIONS crystal
Pb 0.000 0.000 0.000
Pb 0.750 0.250 0.500
B 0.500 0.500 0.000
B 0.250 0.750 0.500
Rh 0.521 0.125 0.250
Rh 0.229 0.625 0.250
Rh 0.375 0.479 0.750
Rh 0.875 0.771 0.750
```



Stability, highest: w



w | This record from the Alexandria database describes a relaxed structure of B3RhPb. The functional is PBE-GGA. Values from VASP.

Computed properties:
**Crystal system**: cubic

Structure (Quantum ESPRESSO input):
```
&SYSTEM
  ibrav = 0, nat = 5, ntyp = 3
/
ATOMIC_SPECIES
Pb 207.20 Pb.upf
B 10.81 B.upf
Rh 102.91 Rh.upf
CELL_PARAMETERS angstrom
4.201 0.000 0.000
0.000 4.201 0.000
0.000 0.000 4.201
ATOMIC_POSITIONS crystal
Pb 0.500 0.500 0.500
B 0.000 0.500 0.000
B 0.000 0.000 0.500
B 0.500 0.000 0.000
Rh 0.000 0.000 0.000
```



x | This record from the Alexandria database describes a relaxed structure of B3RhPb. The functional is PBE-GGA. Values from VASP.

Computed properties:
**Crystal system**: cubic

Structure (Quantum ESPRESSO input):
```
&SYSTEM
  ibrav = 0, nat = 5, ntyp = 3
/
ATOMIC_SPECIES
Pb 207.20 Pb.upf
B 10.81 B.upf
Rh 102.91 Rh.upf
CELL_PARAMETERS angstrom
4.497 0.000 0.000
0.000 4.497 0.000
0.000 0.000 4.497
ATOMIC_POSITIONS crystal
Pb 0.000 0.000 0.000
B 0.000 0.500 0.000
B 0.000 0.000 0.500
B 0.500 0.000 0.000
Rh 0.500 0.500 0.500
```



Stability, highest: w